AlCoIO2 | Alexandria via LeMat-Bulk | GGA+U | relaxed; magnetic moment = 2.19 Bohr magnetons per cell; ΔE to the lowest computed polymorph = 0 meV per atom
1.0
3.656 0.000 0.000
0.000 3.656 0.000
0.000 0.000 6.503
I Co Al O
1 1 1 2
Direct
0.000 0.000 0.500 I
0.500 0.500 0.500 Co
0.000 0.000 0.000 Al
0.000 0.500 0.000 O
0.500 0.000 0.000 O